(1)
# CaBeIn (meta-GGA SCAN, single point on PBEsol structure)
data_CaBeIn
_cell_length_a 6.454
_cell_length_b 6.454
_cell_length_c 6.454
_cell_angle_alpha 90.00
_cell_angle_beta 90.00
_cell_angle_gamma 90.00
_symmetry_space_group_name_H-M 'F -4 3 m'
_symmetry_Int_Tables_number 216
_symmetry_space_group_name_Hall 'F -4 2 3'
loop_
_atom_site_label
_atom_site_fract_x
_atom_site_fract_y
_atom_site_fract_z
Ca1 0.000 0.000 0.000
Be1 0.250 0.250 0.750
In1 0.000 0.000 0.500
# Calculated total energy ... -15.8148 eV per atom
# Formation enthalpy at 0 K ... -14 meV per atom



(2)
# CaBe2In (meta-GGA SCAN, single point on PBEsol structure)
data_CaBe2In
_cell_length_a 4.108
_cell_length_b 4.999
_cell_length_c 7.158
_cell_angle_alpha 90.00
_cell_angle_beta 90.00
_cell_angle_gamma 90.00
_symmetry_space_group_name_H-M 'I m m 2'
_symmetry_Int_Tables_number 44
loop_
_symmetry_equiv_pos_as_xyz
'x,y,z'
'-x,-y,z'
'-x,y,z'
'x,-y,z'
'x+1/2,y+1/2,z+1/2'
'-x+1/2,-y+1/2,z+1/2'
'-x+1/2,y+1/2,z+1/2'
'x+1/2,-y+1/2,z+1/2'
loop_
_atom_site_label
_atom_site_fract_x
_atom_site_fract_y
_atom_site_fract_z
Ca1 0.000 0.000 0.000
Be1 0.000 0.000 0.412
Be2 0.000 0.500 0.811
In1 0.000 0.500 0.198
# Calculated total energy ... -12.6650 eV per atom
# Formation enthalpy at 0 K ... 274 meV per atom



(3)
# CaBe2In (meta-GGA SCAN, single point on PBEsol structure)
data_CaBe2In
_cell_length_a 3.348
_cell_length_b 3.348
_cell_length_c 6.570
_cell_angle_alpha 90.00
_cell_angle_beta 90.00
_cell_angle_gamma 90.00
_symmetry_space_group_name_H-M 'P 4/m m m'
_symmetry_Int_Tables_number 123
_symmetry_space_group_name_Hall '-P 4 2'
loop_
_atom_site_label
_atom_site_fract_x
_atom_site_fract_y
_atom_site_fract_z
Ca1 0.000 0.000 0.000
Be1 0.500 0.500 0.310
In1 0.000 0.000 0.500
# Calculated total energy ... -12.5953 eV per atom
# Formation enthalpy at 0 K ... 344 meV per atom



(4)
# Ca2BeIr (meta-GGA SCAN, single point on PBEsol structure)
data_Ca2BeIr
_cell_length_a 3.929
_cell_length_b 4.320
_cell_length_c 10.313
_cell_angle_alpha 90.00
_cell_angle_beta 90.00
_cell_angle_gamma 90.00
_symmetry_space_group_name_H-M 'A m m 2'
_symmetry_Int_Tables_number 38
loop_
_symmetry_equiv_pos_as_xyz
'x,y,z'
'-x,-y,z'
'-x,y,z'
'x,-y,z'
'x,y+1/2,z+1/2'
'-x,-y+1/2,z+1/2'
'-x,y+1/2,z+1/2'
'x,-y+1/2,z+1/2'
loop_
_atom_site_label
_atom_site_fract_x
_atom_site_fract_y
_atom_site_fract_z
Ca1 0.000 0.000 0.000
Ca2 0.500 0.000 0.285
Be1 0.500 0.000 0.600
Ir1 0.000 0.000 0.691
# Calculated total energy ... -24.0579 eV per atom
# Formation enthalpy at 0 K ... -363 meV per atom



(5)
# CaBeIr2 (meta-GGA SCAN, single point on PBEsol structure)
data_CaBeIr2
_cell_length_a 2.9158
_cell_length_b 2.9158
_cell_length_c 23.6632
_cell_angle_alpha 90.00
_cell_angle_beta 90.00
_cell_angle_gamma 120.00
_symmetry_space_group_name_H-M 'R -3 m'
_symmetry_Int_Tables_number 166
_symmetry_space_group_name_Hall '-R 3 2"'
loop_
_atom_site_label
_atom_site_fract_x
_atom_site_fract_y
_atom_site_fract_z
Ca1 0.0000 0.0000 0.0000
Be1 0.0000 0.0000 0.5000
Ir1 0.0000 0.0000 0.2338
# Calculated total energy ... -39.1494 eV per atom
# Formation enthalpy at 0 K ... -96 meV per atom



(6)
# Ca2BeIr (meta-GGA SCAN, single point on PBEsol structure)
data_Ca2BeIr
_cell_length_a 3.351
_cell_length_b 3.467
_cell_length_c 6.881
_cell_angle_alpha 90.00
_cell_angle_beta 90.00
_cell_angle_gamma 90.00
_symmetry_space_group_name_H-M 'P m m m'
_symmetry_Int_Tables_number 47
loop_
_symmetry_equiv_pos_as_xyz
'x,y,z'
'-x,-y,-z'
'-x,-y,z'
'x,y,-z'
'x,-y,-z'
'-x,y,z'
'-x,y,-z'
'x,-y,z'
loop_
_atom_site_label
_atom_site_fract_x
_atom_site_fract_y
_atom_site_fract_z
Ca1 0.000 0.000 0.238
Be1 0.500 0.500 0.500
Ir1 0.500 0.500 0.000
# Calculated total energy ... -23.5907 eV per atom
# Formation enthalpy at 0 K ... 104 meV per atom



(7)
# CaBeIr (meta-GGA SCAN, single point on PBEsol structure)
data_CaBeIr
_cell_length_a 6.211
_cell_length_b 6.211
_cell_length_c 6.211
_cell_angle_alpha 90.00
_cell_angle_beta 90.00
_cell_angle_gamma 90.00
_symmetry_space_group_name_H-M 'F -4 3 m'
_symmetry_Int_Tables_number 216
_symmetry_space_group_name_Hall 'F -4 2 3'
loop_
_atom_site_label
_atom_site_fract_x
_atom_site_fract_y
_atom_site_fract_z
Ca1 0.000 0.000 0.000
Be1 0.250 0.250 0.250
Ir1 0.250 0.250 0.750
# Calculated total energy ... -27.2401 eV per atom
# Formation enthalpy at 0 K ... 1132 meV per atom



(8)
# Ca2BeIr (meta-GGA SCAN, single point on PBEsol structure)
data_Ca2BeIr
_cell_length_a 3.664
_cell_length_b 4.545
_cell_length_c 10.156
_cell_angle_alpha 90.00
_cell_angle_beta 90.00
_cell_angle_gamma 90.00
_symmetry_space_group_name_H-M 'I m m 2'
_symmetry_Int_Tables_number 44
loop_
_symmetry_equiv_pos_as_xyz
'x,y,z'
'-x,-y,z'
'-x,y,z'
'x,-y,z'
'x+1/2,y+1/2,z+1/2'
'-x+1/2,-y+1/2,z+1/2'
'-x+1/2,y+1/2,z+1/2'
'x+1/2,-y+1/2,z+1/2'
loop_
_atom_site_label
_atom_site_fract_x
_atom_site_fract_y
_atom_site_fract_z
Ca1 0.000 0.000 0.000
Ca2 0.000 0.500 0.221
Be1 0.000 0.000 0.420
Ir1 0.000 0.500 0.808
# Calculated total energy ... -23.9565 eV per atom
# Formation enthalpy at 0 K ... -262 meV per atom



(9)
# CaBe3Ir (meta-GGA SCAN, single point on PBEsol structure)
data_CaBe3Ir
_cell_length_a 4.288
_cell_length_b 4.288
_cell_length_c 4.288
_cell_angle_alpha 90.00
_cell_angle_beta 90.00
_cell_angle_gamma 90.00
_symmetry_space_group_name_H-M 'P m -3 m'
_symmetry_Int_Tables_number 221
_symmetry_space_group_name_Hall '-P 4 2 3'
loop_
_atom_site_label
_atom_site_fract_x
_atom_site_fract_y
_atom_site_fract_z
Ca1 0.000 0.000 0.000
Be1 0.000 0.500 0.500
Ir1 0.500 0.500 0.500
# Calculated total energy ... -19.0995 eV per atom
# Formation enthalpy at 0 K ... -335 meV per atom



(10)
# CaBeIr2 (meta-GGA SCAN, single point on PBEsol structure)
data_CaBeIr2
_cell_length_a 10.124
_cell_length_b 2.840
_cell_length_c 5.176
_cell_angle_alpha 90.00
_cell_angle_beta 115.63
_cell_angle_gamma 90.00
_symmetry_space_group_name_H-M 'C 1 m 1'
_symmetry_Int_Tables_number 8
loop_
_symmetry_equiv_pos_as_xyz
'x,y,z'
'x,-y,z'
'x+1/2,y+1/2,z'
'x+1/2,-y+1/2,z'
loop_
_atom_site_label
_atom_site_fract_x
_atom_site_fract_y
_atom_site_fract_z
Ca1 0.000 0.000 0.000
Be1 0.321 0.500 0.335
Ir1 0.016 0.500 0.526
Ir2 0.238 0.000 0.566
# Calculated total energy ... -39.3478 eV per atom
# Formation enthalpy at 0 K ... -294 meV per atom



(11)
# Ca2BeIr (meta-GGA SCAN, single point on PBEsol structure)
data_Ca2BeIr
_cell_length_a 6.758
_cell_length_b 3.907
_cell_length_c 7.739
_cell_angle_alpha 90.00
_cell_angle_beta 106.70
_cell_angle_gamma 90.00
_symmetry_space_group_name_H-M 'C 1 m 1'
_symmetry_Int_Tables_number 8
loop_
_symmetry_equiv_pos_as_xyz
'x,y,z'
'x,-y,z'
'x+1/2,y+1/2,z'
'x+1/2,-y+1/2,z'
loop_
_atom_site_label
_atom_site_fract_x
_atom_site_fract_y
_atom_site_fract_z
Ca1 0.000 0.000 0.000
Ca2 0.169 0.000 0.514
Be1 0.418 0.000 0.257
Ir1 0.252 0.500 0.257
# Calculated total energy ... -24.1564 eV per atom
# Formation enthalpy at 0 K ... -461 meV per atom



(12)
# CaBe2IrPb (meta-GGA SCAN, single point on PBEsol structure)
data_CaBe2IrPb
_cell_length_a 4.432
_cell_length_b 4.432
_cell_length_c 5.199
_cell_angle_alpha 90.00
_cell_angle_beta 90.00
_cell_angle_gamma 90.00
_symmetry_space_group_name_H-M 'P 4/m m m'
_symmetry_Int_Tables_number 123
_symmetry_space_group_name_Hall '-P 4 2'
loop_
_atom_site_label
_atom_site_fract_x
_atom_site_fract_y
_atom_site_fract_z
Ca1 0.000 0.000 0.000
Be1 0.000 0.500 0.500
Ir1 0.000 0.000 0.500
Pb1 0.500 0.500 0.000
# Calculated total energy ... -32.9228 eV per atom
# Formation enthalpy at 0 K ... 127 meV per atom



(13)
# KCaBe2 (meta-GGA SCAN, single point on PBEsol structure)
data_KCaBe2
_cell_length_a 4.037
_cell_length_b 4.091
_cell_length_c 7.381
_cell_angle_alpha 90.00
_cell_angle_beta 105.95
_cell_angle_gamma 90.00
_symmetry_space_group_name_H-M 'P 1 m 1'
_symmetry_Int_Tables_number 6
loop_
_symmetry_equiv_pos_as_xyz
'x,y,z'
'x,-y,z'
loop_
_atom_site_label
_atom_site_fract_x
_atom_site_fract_y
_atom_site_fract_z
K1 0.000 0.000 0.000
Ca1 0.266 0.500 0.532
Be1 0.635 0.500 0.273
Be2 0.678 0.000 0.357
# Calculated total energy ... -6.1353 eV per atom
# Excess energy over the best structure of this formula in the dataset ... 0 meV/atom
# Formation enthalpy at 0 K ... 539 meV per atom



(14)
# KCaBe2 (meta-GGA SCAN, single point on PBEsol structure)
data_KCaBe2
_cell_length_a 7.311
_cell_length_b 7.311
_cell_length_c 7.311
_cell_angle_alpha 90.00
_cell_angle_beta 90.00
_cell_angle_gamma 90.00
_symmetry_space_group_name_H-M 'F m -3 m'
_symmetry_Int_Tables_number 225
_symmetry_space_group_name_Hall '-F 4 2 3'
loop_
_atom_site_label
_atom_site_fract_x
_atom_site_fract_y
_atom_site_fract_z
K1 0.000 0.000 0.000
Ca1 0.000 0.000 0.500
Be1 0.250 0.250 0.250
# Calculated total energy ... -5.7492 eV per atom
# Excess energy over the best structure of this formula in the dataset ... 386 meV/atom
# Formation enthalpy at 0 K ... 926 meV per atom



(15)
# CaLaBe2Ru (meta-GGA SCAN, single point on PBEsol structure)
data_CaLaBe2Ru
_cell_length_a 5.088
_cell_length_b 5.088
_cell_length_c 4.736
_cell_angle_alpha 90.00
_cell_angle_beta 90.00
_cell_angle_gamma 90.00
_symmetry_space_group_name_H-M 'P 4/m m m'
_symmetry_Int_Tables_number 123
_symmetry_space_group_name_Hall '-P 4 2'
loop_
_atom_site_label
_atom_site_fract_x
_atom_site_fract_y
_atom_site_fract_z
Ca1 0.000 0.000 0.000
La1 0.500 0.500 0.500
Be1 0.000 0.500 0.500
Ru1 0.500 0.500 0.000
# Calculated total energy ... -18.0177 eV per atom
# Formation enthalpy at 0 K ... 1243 meV per atom



(16)
# Li2CaBeN (meta-GGA SCAN, single point on PBEsol structure)
data_Li2CaBeN
_cell_length_a 5.538
_cell_length_b 5.538
_cell_length_c 3.986
_cell_angle_alpha 90.00
_cell_angle_beta 90.00
_cell_angle_gamma 90.00
_symmetry_space_group_name_H-M 'P 4/m m m'
_symmetry_Int_Tables_number 123
_symmetry_space_group_name_Hall '-P 4 2'
loop_
_atom_site_label
_atom_site_fract_x
_atom_site_fract_y
_atom_site_fract_z
Li1 0.000 0.500 0.000
Ca1 0.000 0.000 0.000
Be1 0.500 0.500 0.500
N1 0.000 0.000 0.500
# Formation energy (no corrections) ... 1.1711 eV per atom
# Calculated total energy ... -4.4465 eV per atom



(17)
# LiCaBeSn2 (meta-GGA SCAN, single point on PBEsol structure)
data_LiCaBeSn2
_cell_length_a 4.895
_cell_length_b 4.895
_cell_length_c 4.690
_cell_angle_alpha 90.00
_cell_angle_beta 90.00
_cell_angle_gamma 90.00
_symmetry_space_group_name_H-M 'P 4/m m m'
_symmetry_Int_Tables_number 123
_symmetry_space_group_name_Hall '-P 4 2'
loop_
_atom_site_label
_atom_site_fract_x
_atom_site_fract_y
_atom_site_fract_z
Li1 0.000 0.000 0.000
Ca1 0.500 0.500 0.000
Be1 0.000 0.000 0.500
Sn1 0.000 0.500 0.500
# Calculated total energy ... -17.7300 eV per atom
# Formation enthalpy at 0 K ... -80 meV per atom



(18)
# Ca2MgBeRe (meta-GGA SCAN, single point on PBEsol structure)
data_Ca2MgBeRe
_cell_length_a 5.248
_cell_length_b 5.248
_cell_length_c 5.108
_cell_angle_alpha 90.00
_cell_angle_beta 90.00
_cell_angle_gamma 90.00
_symmetry_space_group_name_H-M 'P 4/m m m'
_symmetry_Int_Tables_number 123
_symmetry_space_group_name_Hall '-P 4 2'
loop_
_atom_site_label
_atom_site_fract_x
_atom_site_fract_y
_atom_site_fract_z
Ca1 0.000 0.500 0.000
Mg1 0.000 0.000 0.500
Be1 0.500 0.500 0.500
Re1 0.000 0.000 0.000
# Calculated total energy ... -18.7232 eV per atom
# Formation enthalpy at 0 K ... 1227 meV per atom



(19)
# Ca2MnBe (meta-GGA SCAN, single point on PBEsol structure)
data_Ca2MnBe
_cell_length_a 3.185
_cell_length_b 3.185
_cell_length_c 8.148
_cell_angle_alpha 90.00
_cell_angle_beta 90.00
_cell_angle_gamma 90.00
_symmetry_space_group_name_H-M 'P 4 m m'
_symmetry_Int_Tables_number 99
loop_
_symmetry_equiv_pos_as_xyz
'x,y,z'
'-y,x,z'
'-x,-y,z'
'y,-x,z'
'-x,y,z'
'y,x,z'
'x,-y,z'
'-y,-x,z'
loop_
_atom_site_label
_atom_site_fract_x
_atom_site_fract_y
_atom_site_fract_z
Ca1 0.000 0.000 0.000
Ca2 0.500 0.500 0.401
Mn1 0.000 0.000 0.663
Be1 0.500 0.500 0.737
# Calculated total energy ... -10.2444 eV per atom
# Formation enthalpy at 0 K ... 240 meV per atom



(20)
# CaMnBe2Ni (meta-GGA SCAN, single point on PBEsol structure)
data_CaMnBe2Ni
_cell_length_a 4.488
_cell_length_b 4.488
_cell_length_c 4.259
_cell_angle_alpha 90.00
_cell_angle_beta 90.00
_cell_angle_gamma 90.00
_symmetry_space_group_name_H-M 'P 4/m m m'
_symmetry_Int_Tables_number 123
_symmetry_space_group_name_Hall '-P 4 2'
loop_
_atom_site_label
_atom_site_fract_x
_atom_site_fract_y
_atom_site_fract_z
Ca1 0.000 0.000 0.000
Mn1 0.000 0.000 0.500
Be1 0.000 0.500 0.000
Ni1 0.500 0.500 0.500
# Calculated total energy ... -8.1774 eV per atom
# Formation enthalpy at 0 K ... 2382 meV per atom



Per-record mass density, g cm⁻³: 4.05 3.91 3.90 5.34 12.40 5.84 6.69 5.52 5.46 10.73 4.77 7.44 1.38 1.65 4.04 1.05 4.34 3.54 2.89 3.32